No. 1
The following is a GGA-PBE calculation of a relaxed structure of YRuNO2, from Alexandria.

```
data_YRuNO2
_chemical_formula_sum 'Y1 Ru1 N1 O2'
_symmetry_space_group_name_H-M 'P 4/m m m'
_symmetry_Int_Tables_number 123
_symmetry_space_group_name_Hall '-P 4 2'
_cell_length_a 4.298
_cell_length_b 4.298
_cell_length_c 4.494
_cell_angle_alpha 90.00
_cell_angle_beta 90.00
_cell_angle_gamma 90.00
loop_
_atom_site_label
_atom_site_type_symbol
_atom_site_fract_x
_atom_site_fract_y
_atom_site_fract_z
Y1 Y 0.000 0.000 0.000
Ru1 Ru 0.500 0.500 0.500
N1 N 0.000 0.000 0.500
O1 O 0.000 0.500 0.000
```

---

No. 2
The following is a GGA-PBE calculation of a relaxed structure of YRuNO2, from Alexandria.

```
data_YRuNO2
_chemical_formula_sum 'Y1 Ru1 N1 O2'
_symmetry_space_group_name_H-M 'P 4/m m m'
_symmetry_Int_Tables_number 123
_symmetry_space_group_name_Hall '-P 4 2'
_cell_length_a 4.047
_cell_length_b 4.047
_cell_length_c 3.719
_cell_angle_alpha 90.00
_cell_angle_beta 90.00
_cell_angle_gamma 90.00
loop_
_atom_site_label
_atom_site_type_symbol
_atom_site_fract_x
_atom_site_fract_y
_atom_site_fract_z
Y1 Y 0.000 0.000 0.000
Ru1 Ru 0.500 0.500 0.500
N1 N 0.500 0.500 0.000
O1 O 0.000 0.500 0.500
```

---

No. 3
The following is a GGA-PBE calculation of a relaxed structure of ZnRuNO2, from Alexandria.

```
data_ZnRuNO2
_chemical_formula_sum 'Zn1 Ru1 N1 O2'
_symmetry_space_group_name_H-M 'P 4/m m m'
_symmetry_Int_Tables_number 123
_symmetry_space_group_name_Hall '-P 4 2'
_cell_length_a 3.969
_cell_length_b 3.969
_cell_length_c 3.729
_cell_angle_alpha 90.00
_cell_angle_beta 90.00
_cell_angle_gamma 90.00
loop_
_atom_site_label
_atom_site_type_symbol
_atom_site_fract_x
_atom_site_fract_y
_atom_site_fract_z
Zn1 Zn 0.000 0.000 0.000
Ru1 Ru 0.500 0.500 0.500
N1 N 0.500 0.500 0.000
O1 O 0.000 0.500 0.500
```

---

No. 4
The following is a GGA-PBE calculation of a relaxed structure of ZnRuNO2, from Alexandria.

```
data_ZnRuNO2
_chemical_formula_sum 'Zn1 Ru1 N1 O2'
_symmetry_space_group_name_H-M 'P 4/m m m'
_symmetry_Int_Tables_number 123
_symmetry_space_group_name_Hall '-P 4 2'
_cell_length_a 3.773
_cell_length_b 3.773
_cell_length_c 3.941
_cell_angle_alpha 90.00
_cell_angle_beta 90.00
_cell_angle_gamma 90.00
loop_
_atom_site_label
_atom_site_type_symbol
_atom_site_fract_x
_atom_site_fract_y
_atom_site_fract_z
Zn1 Zn 0.000 0.000 0.000
Ru1 Ru 0.500 0.500 0.500
N1 N 0.000 0.000 0.500
O1 O 0.000 0.500 0.000
```

---

No. 5
The following is a GGA-PBE calculation of a relaxed structure of ZrRuN2O, from Alexandria.

```
data_ZrRuN2O
_chemical_formula_sum 'Zr1 Ru1 N2 O1'
_symmetry_space_group_name_H-M 'P 4/m m m'
_symmetry_Int_Tables_number 123
_symmetry_space_group_name_Hall '-P 4 2'
_cell_length_a 3.833
_cell_length_b 3.833
_cell_length_c 3.920
_cell_angle_alpha 90.00
_cell_angle_beta 90.00
_cell_angle_gamma 90.00
loop_
_atom_site_label
_atom_site_type_symbol
_atom_site_fract_x
_atom_site_fract_y
_atom_site_fract_z
Zr1 Zr 0.000 0.000 0.000
Ru1 Ru 0.500 0.500 0.500
N1 N 0.000 0.500 0.500
O1 O 0.500 0.500 0.000
```

---

No. 6
The following is a GGA-PBE calculation of a relaxed structure of ZrRuN2O, from Alexandria.

```
data_ZrRuN2O
_chemical_formula_sum 'Zr1 Ru1 N2 O1'
_symmetry_space_group_name_H-M 'P 4/m m m'
_symmetry_Int_Tables_number 123
_symmetry_space_group_name_Hall '-P 4 2'
_cell_length_a 4.244
_cell_length_b 4.244
_cell_length_c 4.054
_cell_angle_alpha 90.00
_cell_angle_beta 90.00
_cell_angle_gamma 90.00
loop_
_atom_site_label
_atom_site_type_symbol
_atom_site_fract_x
_atom_site_fract_y
_atom_site_fract_z
Zr1 Zr 0.000 0.000 0.000
Ru1 Ru 0.500 0.500 0.500
N1 N 0.000 0.500 0.000
O1 O 0.000 0.000 0.500
```

---

No. 7
The following is a GGA-PBE calculation of a relaxed structure of SbSN2O, from Alexandria.

```
data_SbSN2O
_chemical_formula_sum 'Sb1 S1 N2 O1'
_symmetry_space_group_name_H-M 'P 4/m m m'
_symmetry_Int_Tables_number 123
_symmetry_space_group_name_Hall '-P 4 2'
_cell_length_a 4.011
_cell_length_b 4.011
_cell_length_c 3.748
_cell_angle_alpha 90.00
_cell_angle_beta 90.00
_cell_angle_gamma 90.00
loop_
_atom_site_label
_atom_site_type_symbol
_atom_site_fract_x
_atom_site_fract_y
_atom_site_fract_z
Sb1 Sb 0.000 0.000 0.000
S1 S 0.500 0.500 0.000
N1 N 0.000 0.500 0.500
O1 O 0.500 0.500 0.500
```

---

No. 8
The following is a GGA-PBE calculation of a relaxed structure of SbSN2O, from Alexandria.

```
data_SbSN2O
_chemical_formula_sum 'Sb1 S1 N2 O1'
_symmetry_space_group_name_H-M 'P 4/m m m'
_symmetry_Int_Tables_number 123
_symmetry_space_group_name_Hall '-P 4 2'
_cell_length_a 4.133
_cell_length_b 4.133
_cell_length_c 5.096
_cell_angle_alpha 90.00
_cell_angle_beta 90.00
_cell_angle_gamma 90.00
loop_
_atom_site_label
_atom_site_type_symbol
_atom_site_fract_x
_atom_site_fract_y
_atom_site_fract_z
Sb1 Sb 0.000 0.000 0.000
S1 S 0.000 0.000 0.500
N1 N 0.000 0.500 0.000
O1 O 0.500 0.500 0.500
```

---

Number 1: D(E_F) 2.91 states/eV/f.u., formation energy without anion corrections 178 meV per atom, calculated volume 16.60 Å³/atom. Number 2: D(E_F) 0.67 states/eV/f.u., formation energy without anion corrections -1206 meV per atom, calculated volume 12.18 Å³/atom. Number 3: D(E_F) 5.36 states/eV/f.u., formation energy without anion corrections 59 meV per atom, calculated volume 11.75 Å³/atom. Number 4: D(E_F) 4.93 states/eV/f.u., formation energy without anion corrections 941 meV per atom, calculated volume 11.22 Å³/atom. Number 5: D(E_F) 3.74 states/eV/f.u., formation energy without anion corrections -149 meV per atom, calculated volume 11.52 Å³/atom. Number 6: D(E_F) 4.48 states/eV/f.u., formation energy without anion corrections 494 meV per atom, calculated volume 14.60 Å³/atom. Number 7: D(E_F) 1.73 states/eV/f.u., formation energy without anion corrections 1787 meV per atom, calculated volume 12.06 Å³/atom. Number 8: D(E_F) 2.37 states/eV/f.u., formation energy without anion corrections 1877 meV per atom, calculated volume 17.41 Å³/atom.